A crystal of SiAg3Pt relaxed with PBEsol. Source: Alexandria via LeMat-Bulk, functional SCAN.

Calculated values
Magnetization   0.00 μB per formula unit
ΔE_f (raw)   1.18 eV per atom
Electronic total energy   -33.6823 eV per atom

Lattice parameters (Å, degrees): 4.9454 4.9454 4.9454 90.00 90.00 90.00
Fractional positions:
Si1 0.5000 0.5000 0.5000
Ag1 0.5000 0.0000 0.0000
Ag2 0.0000 0.0000 0.5000
Ag3 0.0000 0.5000 0.0000
Pt1 0.0000 0.0000 0.0000